(1)
Compound: LiYB2
Source: Alexandria
Functional: PBE
Structure: relaxed

The value obtained for the magnetization is 0.00 μB/f.u. The calculation puts the formation energy from the elements at 0.4378 eV per atom. The mass density is 3.65 Mg/m³. The calculation puts the total energy at -4.9954 eV per atom.

The structure belongs to space group Fm-3m (No. 225); the cell edges are 5.9806, 5.9806 and 5.9806 Å and the angles 90.00°, 90.00° and 90.00°. Symmetry generates all atoms from Li at (0.0000, 0.0000, 0.0000), Y at (0.0000, 0.0000, 0.5000) and B at (0.2500, 0.2500, 0.2500).

***

(2)
Compound: Y2CrIr
Source: Alexandria
Functional: PBE
Structure: relaxed

The value obtained for the magnetization is 3.79 μB/f.u. The calculation puts the formation energy from the elements at 0.1839 eV per atom. The mass density is 7.42 Mg/m³. The calculation puts the total energy at -7.6692 eV per atom.

The structure belongs to space group I-42d (No. 122); the cell edges are 7.8173, 7.8173 and 6.1805 Å and the angles 90.00°, 90.00° and 90.00°. Symmetry generates all atoms from Y at (0.2175, 0.2500, 0.1250), Cr at (0.0000, 0.0000, 0.5000) and Ir at (0.0000, 0.0000, 0.0000).

***

(3)
Compound: UI4Br
Source: Alexandria
Functional: PBE
Structure: relaxed

The value obtained for the magnetization is 2.52 μB/f.u. The mass density is 4.68 Mg/m³. The calculation puts the total energy at -3.7489 eV per atom.

The structure belongs to space group C2/m (No. 12); the cell edges are 16.3607, 9.1455 and 8.1146 Å and the angles 90.00°, 105.22° and 90.00°. Symmetry generates all atoms from U at (0.0400, 0.0000, 0.2535), I at (0.0000, 0.2314, 0.5000), I at (0.1173, 0.1802, 0.9908), I at (0.2135, 0.0000, 0.4669) and Br at (0.1141, 0.5000, 0.9879).

***

(4)
Compound: KW2Se
Source: Alexandria
Functional: PBE
Structure: relaxed

The value obtained for the magnetization is 0.00 μB/f.u. The mass density is 9.92 Mg/m³. The calculation puts the total energy at -6.5401 eV per atom.

The structure belongs to space group P2/m (No. 10); the cell edges are 2.7234, 5.8224 and 5.1274 Å and the angles 90.00°, 90.68° and 90.00°. Symmetry generates all atoms from K at (0.0000, 0.0000, 0.0000), W at (0.3522, 0.5000, 0.2513) and Se at (0.5000, 0.0000, 0.5000).